Here is a geometry-optimized BaLaH3 structure from the Alexandria database. Energies are from PBE.

```
data_BaLaH3
_chemical_formula_sum 'Ba1 La1 H3'
_cell_length_a 4.753
_cell_length_b 4.753
_cell_length_c 4.753
_cell_angle_alpha 90.00
_cell_angle_beta 90.00
_cell_angle_gamma 90.00
_symmetry_space_group_name_H-M 'P 1'
_symmetry_Int_Tables_number 1
loop_
_symmetry_equiv_pos_as_xyz
'x,y,z'
loop_
_atom_site_label
_atom_site_type_symbol
_atom_site_fract_x
_atom_site_fract_y
_atom_site_fract_z
La1 La 0.500 0.500 0.500
H1 H 0.000 0.500 0.000
H2 H 0.500 0.000 0.000
H3 H 0.000 0.000 0.500
Ba1 Ba 0.000 0.000 0.000
```

Output
ρ: 4.318 g/cm³
Space group: Pm-3m (221)
V: 21.5 A^3/atom
Crystal system: cubic
Energy above the most stable polymorph in this dataset: 43.17 kJ per mole of atoms